[1]
Here is AcTcGe2Ir after structural relaxation from Alexandria via LeMat-Bulk. Energies are from PBE.

Summary:
Energy relative to the elements = -0.617 eV/atom
Raw total energy = -7.13 eV/atom

The structure in CIF format:
```
data_AcTcGe2Ir
_chemical_formula_sum 'Ac2 Tc2 Ge4 Ir2'
_cell_length_a 4.389
_cell_length_b 4.389
_cell_length_c 10.495
_cell_angle_alpha 90.00
_cell_angle_beta 90.00
_cell_angle_gamma 90.00
_space_group_name_H-M_alt 'I -4 m 2'
_space_group_IT_number 119
_space_group_name_Hall 'I -4 -2'
loop_
_atom_site_label
_atom_site_type_symbol
_atom_site_fract_x
_atom_site_fract_y
_atom_site_fract_z
Ac1 Ac 0.000 0.000 0.000
Tc1 Tc 0.000 0.500 0.250
Ge1 Ge 0.000 0.000 0.363
Ir1 Ir 0.000 0.500 0.750
```

---

[2]
Here is PrNd2Cd2Hg2 after structural relaxation from Alexandria via LeMat-Bulk. Energies are from PBE.

Summary:
Energy relative to the elements = -0.286 eV/atom
Raw total energy = -2.68 eV/atom

The structure in CIF format:
```
data_PrNd2Cd2Hg2
_chemical_formula_sum 'Pr3 Nd6 Cd6 Hg6'
_cell_length_a 5.0165
_cell_length_b 5.0165
_cell_length_c 27.3279
_cell_angle_alpha 90.00
_cell_angle_beta 90.00
_cell_angle_gamma 120.00
_space_group_name_H-M_alt 'R -3 m'
_space_group_IT_number 166
_space_group_name_Hall '-R 3 2"'
loop_
_atom_site_label
_atom_site_type_symbol
_atom_site_fract_x
_atom_site_fract_y
_atom_site_fract_z
Pr1 Pr 0.0000 0.0000 0.0000
Nd1 Nd 0.0000 0.0000 0.1254
Cd1 Cd 0.0000 0.0000 0.2598
Hg1 Hg 0.0000 0.0000 0.3983
```

---

[3]
Here is Ce6Tc2Pt after structural relaxation from Alexandria via LeMat-Bulk. Energies are from PBE.

Summary:
Energy relative to the elements = -0.331 eV/atom
Offset from the most stable computed form = 0.000 eV/atom
Raw total energy = -7.26 eV/atom

The structure in CIF format:
```
data_Ce6Tc2Pt
_chemical_formula_sum 'Ce12 Tc4 Pt2'
_cell_length_a 10.262
_cell_length_b 4.846
_cell_length_c 8.664
_cell_angle_alpha 90.00
_cell_angle_beta 100.81
_cell_angle_gamma 90.00
_space_group_name_H-M_alt 'C 1 2/m 1'
_space_group_IT_number 12
loop_
_space_group_symop_operation_xyz
'x,y,z'
'-x,-y,-z'
'-x,y,-z'
'x,-y,z'
'x+1/2,y+1/2,z'
'-x+1/2,-y+1/2,-z'
'-x+1/2,y+1/2,-z'
'x+1/2,-y+1/2,z'
loop_
_atom_site_label
_atom_site_type_symbol
_atom_site_fract_x
_atom_site_fract_y
_atom_site_fract_z
Ce1 Ce 0.055 0.000 0.338
Ce2 Ce 0.105 0.500 0.667
Ce3 Ce 0.185 0.500 0.098
Tc1 Tc 0.229 0.500 0.375
Pt1 Pt 0.000 0.000 0.000
```

---

[4]
Here is HRuSe2 after structural relaxation from Alexandria via LeMat-Bulk. Energies are from PBE.

Summary:
Offset from the most stable computed form = 0.332 eV/atom
Raw total energy = -4.63 eV/atom

The structure in CIF format:
```
data_HRuSe2
_chemical_formula_sum 'H4 Ru4 Se8'
_cell_length_a 5.282
_cell_length_b 5.282
_cell_length_c 9.900
_cell_angle_alpha 90.00
_cell_angle_beta 90.00
_cell_angle_gamma 90.00
_space_group_name_H-M_alt 'I -4 2 d'
_space_group_IT_number 122
_space_group_name_Hall 'I -4 2bw'
loop_
_atom_site_label
_atom_site_type_symbol
_atom_site_fract_x
_atom_site_fract_y
_atom_site_fract_z
H1 H 0.000 0.000 0.000
Ru1 Ru 0.000 0.000 0.500
Se1 Se 0.213 0.250 0.125
```

---

Question: Which formula does entry 3 have?
Answer: Ce6Tc2Pt

---

Question: What is the raw total energy in the second record?
Answer: -2.68 eV/atom

---

Question: Among the records above, which one has the highest raw total energy?
Answer: PrNd2Cd2Hg2

---

Question: What is the formula in the first record?
Answer: AcTcGe2Ir